MnReMo2 | PBE | relaxed

Computed properties:
The density is 12249 kg/m3. Its formation enthalpy at 0 K is 93 meV per atom. For the spin magnetization, the calculation gives 0.41 μB per atom. The relative energy among the computed polymorphs comes out at 0.024 eV/atom. The total energy is -10.73 eV per atom.

Cell: 2.689 2.689 8.576 Å, 90.00 90.00 108.86°
Fractional coordinates of all 4 atoms:
Mn: 0.500 0.500 0.750
Mo: 0.000 0.000 0.988
Mo: 0.000 0.000 0.512
Re: 0.500 0.500 0.250

MnReMo2 | PBE | relaxed

Computed properties:
The density is 12140 kg/m3. Its formation enthalpy at 0 K is 89 meV per atom. For the spin magnetization, the calculation gives 0.53 μB per atom. The relative energy among the computed polymorphs comes out at 0.020 eV/atom. The total energy is -10.73 eV per atom.

Cell: 3.135 3.135 6.028 Å, 90.00 90.00 90.00°
Fractional coordinates of all 4 atoms:
Mn: 0.500 0.500 0.754
Mo: 0.000 0.000 0.988
Mo: 0.500 0.500 0.253
Re: 0.000 0.000 0.505

MnReMo2 | PBE | relaxed

Computed properties:
The density is 12120 kg/m3. Its formation enthalpy at 0 K is 71 meV per atom. For the spin magnetization, the calculation gives 0.56 μB per atom. The relative energy among the computed polymorphs comes out at 0.002 eV/atom. The total energy is -10.75 eV per atom.

Cell: 4.376 2.665 5.157 Å, 80.59 90.00 90.00°
Fractional coordinates of all 4 atoms:
Mn: 0.500 0.756 0.753
Mo: 0.000 0.012 0.990
Mo: 0.500 0.244 0.254
Re: 0.000 0.488 0.503

Mn2ReMo | PBE | relaxed

Computed properties:
The density is 11896 kg/m3. Its formation enthalpy at 0 K is 94 meV per atom. For the spin magnetization, the calculation gives 0.88 μB per atom. The total energy is -10.31 eV per atom.

Cell: 5.181 4.885 2.632 Å, 81.07 77.57 118.18°
Fractional coordinates of all 4 atoms:
Mn: 0.000 0.000 0.000
Mn: 0.500 0.000 0.500
Mo: 0.000 0.500 0.500
Re: 0.500 0.500 0.000

Mn2ReMo | PBE | relaxed

Computed properties:
The density is 11960 kg/m3. Its formation enthalpy at 0 K is 133 meV per atom. For the spin magnetization, the calculation gives 0.80 μB per atom. The total energy is -10.27 eV per atom.

Cell: 4.200 4.200 3.085 Å, 90.00 90.00 90.00°
Fractional coordinates of all 4 atoms:
Mn: 0.000 0.000 0.000
Mn: 0.500 0.500 0.000
Mo: 0.500 0.000 0.500
Re: 0.000 0.500 0.500

Mn2ReMo | PBE | relaxed

Computed properties:
The density is 12326 kg/m3. Its formation enthalpy at 0 K is 138 meV per atom. For the spin magnetization, the calculation gives 0.00 μB per atom. The total energy is -10.27 eV per atom.

Cell: 2.668 2.668 7.420 Å, 90.00 90.00 90.00°
Fractional coordinates of all 4 atoms:
Mn: 0.000 0.000 0.023
Mn: 0.500 0.500 0.219
Mo: 0.000 0.000 0.479
Re: 0.500 0.500 0.779

Q: formation enthalpy at 0 K of number 4 (Mn2ReMo)?
A: 94 meV per atom